This record from Alexandria describes WSe3O after structural relaxation. The functional is PBE+U.

a b c (Å): 4.503 4.503 4.503
angles (deg): 90.00 90.00 90.00
Last column: magnetic moment on the atom in μB.
Atoms (fractional coordinates):
O 0.000 0.000 0.000  -0.04
Se 0.000 0.500 0.000  -0.32
Se 0.000 0.000 0.500  -0.18
Se 0.500 0.000 0.000  -0.30
W 0.500 0.500 0.500  3.11

Summary:
**VASP energy**: -19.0 eV/cell
**N(E_F)**: 0.57 states/eV/atom
**Magnetic moment**: 0.520 μB per atom
**Calculated volume**: 18.3 Å³/atom
**Space-group type**: Pm-3m